The following is a PBE+U calculation of a relaxed TeMo2O crystal, from Alexandria via LeMat-Bulk.

a = 6.8016 Å, b = 6.8016 Å, c = 6.8016 Å
α = 90.00°, β = 90.00°, γ = 90.00°
Closest atoms and distances in Å follow each position.
Space group Fm-3m (No. 225)
One atom of each set of equivalent atoms:
Te 0.0000 0.0000 0.0000 (multiplicity 4)  8 Mo 2.95
Mo 0.2500 0.2500 0.2500 (multiplicity 8)  4 O 2.95, 4 Te 2.95
O 0.0000 0.0000 0.5000 (multiplicity 4)  8 Mo 2.95

## Properties
Uncorrected energy   -4.96 eV per atom